[1]
Entry from the Alexandria database: a geometry-optimized Y4Hg2Pb structure (GGA-PBE).

It has space group R-3m (No. 166, hexagonal axes), with a = 5.1769 Å, b = 5.1769 Å, c = 26.4873 Å, α = 90.00°, β = 90.00° and γ = 120.00°. The asymmetric unit holds Y at (0.0000, 0.0000, 0.1189), Y at (0.0000, 0.0000, 0.3711), Hg at (0.0000, 0.0000, 0.2574) and Pb at (0.0000, 0.0000, 0.5000).

As for the density of states at the Fermi level: 26.76 states/eV/cell. The total magnetic moment comes out at 0.0 μB/cell. The formation energy is -0.32 eV per atom.


[2]
Entry from the Alexandria database: a geometry-optimized Na2Cd3Pd2 structure (GGA-PBE).

It has space group C2/m (No. 12), with a = 10.155 Å, b = 4.517 Å, c = 7.383 Å, α = 90.00°, β = 113.89° and γ = 90.00°. The asymmetric unit holds Na at (0.149, 0.000, 0.286), Cd at (0.000, 0.500, 0.500), Cd at (0.128, 0.500, 0.940) and Pd at (0.134, 0.000, 0.702).

As for the density of states at the Fermi level: 5.01 states/eV/cell. The total magnetic moment comes out at 0.0 μB/cell. The formation energy is -0.24 eV per atom.


> Number 2 is which compound?

Na2Cd3Pd2